The following is a PBE calculation of Rb2NiAgI6 after structural relaxation, from Alexandria.

Structure (POSCAR):
```
Rb2NiAgI6
1.0
-4.040 4.040 5.660
4.040 -4.040 5.660
4.040 4.040 -5.660
Rb Ni Ag I
2 1 1 6
direct
0.250 0.750 0.500
0.750 0.250 0.500
0.000 0.000 0.000
0.500 0.500 0.000
0.235 0.235 0.470
0.235 0.765 0.000
0.243 0.243 0.000
0.757 0.757 0.000
0.765 0.235 0.000
0.765 0.765 0.530
```

* formation energy (no corrections): -0.632 eV per atom
* calculated density: 4.94 g/cm³